Density functional theory data (GGA+U) for an optimized crystal structure of Nd6WO12.

Output
mass density = 7.0 g/cm³
crystal system = trigonal
symmetry = R-3 (148)
calculated total energy = -155.48 eV per formula unit
total moment = 0.000 μB per atom

Cell and atoms, written as CIF:
```
data_Nd6WO12
_chemical_formula_sum 'Nd6 W1 O12'
_cell_length_a 6.738
_cell_length_b 6.738
_cell_length_c 6.738
_cell_angle_alpha 98.53
_cell_angle_beta 98.53
_cell_angle_gamma 98.53
_symmetry_space_group_name_H-M 'P 1'
_symmetry_Int_Tables_number 1
loop_
_symmetry_equiv_pos_as_xyz
'x,y,z'
loop_
_atom_site_label
_atom_site_fract_x
_atom_site_fract_y
_atom_site_fract_z
Nd1 0.310 0.144 0.611
Nd2 0.690 0.856 0.389
Nd3 0.856 0.389 0.690
Nd4 0.144 0.611 0.310
Nd5 0.611 0.310 0.144
Nd6 0.389 0.690 0.856
O1 0.592 0.177 0.439
O2 0.439 0.592 0.177
O3 0.071 0.968 0.288
O4 0.929 0.032 0.712
O5 0.032 0.712 0.929
O6 0.968 0.288 0.071
O7 0.561 0.408 0.823
O8 0.712 0.929 0.032
O9 0.288 0.071 0.968
O10 0.177 0.439 0.592
O11 0.408 0.823 0.561
O12 0.823 0.561 0.408
W1 0.000 0.000 0.000
```